The following is a DFT calculation (GGA-PBE) of crystalline CeY3Sb4 at its relaxed geometry.

Results
The total magnetization comes out at 0.8 μB/cell. As for the crystal system: tetragonal. The volume is 244.1 Å³ per cell. The space group is No. 139. The uncorrected energy is -6.360 eV/atom.

a = 6.2518 Å, b = 6.2518 Å, c = 7.6516 Å
α = 114.11°, β = 114.11°, γ = 90.00°
With the nearest neighbours (Å) after each atom.
Atoms (fractional coordinates):
Sb 0.7489 0.7489 0.4978  5 Y 3.11-3.13, 1 Ce 3.14
Y 0.7500 0.2500 0.5000  6 Sb 3.12-3.13
Ce 0.0000 0.0000 0.0000  6 Sb 3.13-3.14
Y 0.2500 0.7500 0.5000  6 Sb 3.12-3.13
Sb 0.0000 0.5000 0.0000  4 Y 3.12-3.13, 2 Ce 3.13
Sb 0.2511 0.2511 0.5022  5 Y 3.11-3.13, 1 Ce 3.14
Y 0.5000 0.5000 0.0000  6 Sb 3.11-3.13
Sb 0.5000 0.0000 0.0000  4 Y 3.12-3.13, 2 Ce 3.13

---

The following is a DFT calculation (GGA-PBE) of crystalline AlH2Ir at its relaxed geometry.

Results
The calculation puts the energy above the most stable polymorph in this dataset at 0.000 eV/f.u. The total magnetization comes out at 0.0 μB/cell. As for the crystal system: tetragonal. The volume is 73.6 Å³ per cell. The space group is No. 122.

a = 4.0199 Å, b = 4.0199 Å, c = 5.3712 Å
α = 68.02°, β = 68.02°, γ = 90.00°
With the nearest neighbours (Å) after each atom.
Atoms (fractional coordinates):
H 0.3750 0.3523 0.7500  2 Ir 1.77, 2 Al 1.87
Ir 0.0000 0.0000 0.0000  4 H 1.77
H 0.6477 0.1250 0.2500  2 Ir 1.77, 2 Al 1.87
Al 0.5000 0.5000 0.0000  4 H 1.87
H 0.8750 0.8977 0.7500  2 Ir 1.77, 2 Al 1.87
Ir 0.7500 0.2500 0.5000  4 H 1.77
Al 0.2500 0.7500 0.5000  4 H 1.87
H 0.1023 0.6250 0.2500  2 Ir 1.77, 2 Al 1.87

---

- The highest total magnetization belongs to which entry?
  CeY3Sb4

---

- What is the formula in the second record?
  AlH2Ir

---

What did the second record say?
The following is a DFT calculation (GGA-PBE) of crystalline AlH2Ir at its relaxed geometry.

Results
The calculation puts the energy above the most stable polymorph in this dataset at 0.000 eV/f.u. The total magnetization comes out at 0.0 μB/cell. As for the crystal system: tetragonal. The volume is 73.6 Å³ per cell. The space group is No. 122.

a = 4.0199 Å, b = 4.0199 Å, c = 5.3712 Å
α = 68.02°, β = 68.02°, γ = 90.00°
With the nearest neighbours (Å) after each atom.
Atoms (fractional coordinates):
H 0.3750 0.3523 0.7500  2 Ir 1.77, 2 Al 1.87
Ir 0.0000 0.0000 0.0000  4 H 1.77
H 0.6477 0.1250 0.2500  2 Ir 1.77, 2 Al 1.87
Al 0.5000 0.5000 0.0000  4 H 1.87
H 0.8750 0.8977 0.7500  2 Ir 1.77, 2 Al 1.87
Ir 0.7500 0.2500 0.5000  4 H 1.77
Al 0.2500 0.7500 0.5000  4 H 1.87
H 0.1023 0.6250 0.2500  2 Ir 1.77, 2 Al 1.87